This record from Alexandria describes Ba2HgBi2 at its PBEsol-relaxed geometry. The functional is meta-GGA SCAN.

Total moment in μB per atom: 0.0000
ΔE_f in eV/atom: -0.5659
Energy above the lowest structure with this stoichiometry in meV/atom: 213
Raw total energy in eV per cell: -614.51

Cell lengths 6.8757, 6.8757, 9.2144 Å; angles 90.00, 90.00, 90.00 degrees
Space group I4/mmm (No. 139)
Symmetry-distinct sites (fractional):
Ba  0.0000  0.5000  0.2500 [4 per cell]
Hg  0.0000  0.0000  0.0000 [2 per cell]
Bi  0.0000  0.0000  0.3192 [4 per cell]


This record from Alexandria describes ScTePb2 at its PBEsol-relaxed geometry. The functional is meta-GGA SCAN.

Total moment in μB per atom: 0.0000
Raw total energy in eV per cell: -408.13

Cell lengths 4.5124, 4.5124, 10.4228 Å; angles 90.00, 90.00, 90.00 degrees
Space group I-4m2 (No. 119)
Symmetry-distinct sites (fractional):
Sc  0.0000  0.0000  0.0000 [2 per cell]
Te  0.0000  0.5000  0.2500 [2 per cell]
Pb  0.0000  0.0000  0.5000 [2 per cell]
Pb  0.0000  0.5000  0.7500 [2 per cell]


This record from Alexandria describes NdP3O9 at its PBEsol-relaxed geometry. The functional is meta-GGA SCAN.

Total moment in μB per atom: 0.0000
Raw total energy in eV per cell: -668.38

Cell lengths 8.5229, 11.2088, 7.3104 Å; angles 90.00, 90.00, 90.00 degrees
Space group C222_1 (No. 20)
Symmetry-distinct sites (fractional):
Nd  0.1220  0.0000  0.0000 [4 per cell]
P  0.0113  0.3249  0.4543 [8 per cell]
P  0.2493  0.5000  0.0000 [4 per cell]
O  0.0000  0.3757  0.2500 [4 per cell]
O  0.0187  0.1944  0.0382 [8 per cell]
O  0.1384  0.3907  0.9551 [8 per cell]
O  0.1514  0.0198  0.6689 [8 per cell]
O  0.1574  0.3738  0.5374 [8 per cell]


This record from Alexandria describes LiMgIn at its PBEsol-relaxed geometry. The functional is meta-GGA SCAN.

Total moment in μB per atom: 0.0000
ΔE_f in eV/atom: -0.2601
Energy above the lowest structure with this stoichiometry in meV/atom: 2
Raw total energy in eV per cell: -41.53

Cell lengths 4.7462, 4.7462, 3.1169 Å; angles 90.00, 90.00, 120.00 degrees
Space group P3m1 (No. 156)
Symmetry-distinct sites (fractional):
Li  0.0000  0.0000  0.0000 [1 per cell]
Mg  0.6667  0.3333  0.6342 [1 per cell]
In  0.3333  0.6667  0.2415 [1 per cell]


This record from Alexandria describes La3GaBr3 at its PBEsol-relaxed geometry. The functional is meta-GGA SCAN.

Total moment in μB per atom: 0.0000
Raw total energy in eV per cell: -215.23

Cell lengths 6.0359, 6.0359, 6.0359 Å; angles 90.00, 90.00, 90.00 degrees
Space group Pm-3m (No. 221)
Symmetry-distinct sites (fractional):
La  0.0000  0.0000  0.5000 [3 per cell]
Ga  0.0000  0.0000  0.0000 [1 per cell]
Br  0.0000  0.5000  0.5000 [3 per cell]


This record from Alexandria describes Sr2Ni at its PBEsol-relaxed geometry. The functional is meta-GGA SCAN.

Total moment in μB per atom: 0.0095
ΔE_f in eV/atom: 0.0699
Raw total energy in eV per cell: -242.06

Cell lengths 14.1411, 4.0618, 7.8501 Å; angles 90.00, 116.33, 90.00 degrees
Space group C2/m (No. 12)
Symmetry-distinct sites (fractional):
Sr  0.0201  0.0000  0.2525 [4 per cell]
Sr  0.2306  0.5000  0.7793 [4 per cell]
Ni  0.0899  0.5000  0.0345 [4 per cell]


This record from Alexandria describes AsSeBr4 at its PBEsol-relaxed geometry. The functional is meta-GGA SCAN.

Total moment in μB per atom: 0.0494
Raw total energy in eV per cell: -446.17

Cell lengths 8.3933, 8.3933, 8.3933 Å; angles 90.00, 90.00, 90.00 degrees
Space group F-43m (No. 216)
Symmetry-distinct sites (fractional):
As  0.0000  0.0000  0.0000 [4 per cell]
Se  0.2500  0.2500  0.7500 [4 per cell]
Br  0.1249  0.1249  0.3751 [16 per cell]


This record from Alexandria describes ZrCu2Au at its PBEsol-relaxed geometry. The functional is meta-GGA SCAN.

Total moment in μB per atom: 0.0000
ΔE_f in eV/atom: -0.2044
Energy above the lowest structure with this stoichiometry in meV/atom: 169
Raw total energy in eV per cell: -262.14

Cell lengths 4.1242, 2.9149, 10.1948 Å; angles 90.00, 90.00, 90.00 degrees
Space group Amm2 (No. 38)
Symmetry-distinct sites (fractional):
Zr  0.0000  0.0000  0.0000 [2 per cell]
Cu  0.0000  0.0000  0.2650 [2 per cell]
Cu  0.5000  0.0000  0.3856 [2 per cell]
Au  0.5000  0.0000  0.6570 [2 per cell]


This record from Alexandria describes PICl8 at its PBEsol-relaxed geometry. The functional is meta-GGA SCAN.

Total moment in μB per atom: 0.0000
Raw total energy in eV per cell: -931.50

Cell lengths 12.4126, 16.2665, 12.1107 Å; angles 90.00, 90.00, 90.00 degrees
Space group Imma (No. 74)
Symmetry-distinct sites (fractional):
P  0.2500  0.0073  0.2500 [8 per cell]
I  0.0000  0.2500  0.0526 [4 per cell]
I  0.0000  0.2500  0.5692 [4 per cell]
Cl  0.0000  0.0958  0.0505 [8 per cell]
Cl  0.0000  0.0957  0.5661 [8 per cell]
Cl  0.0000  0.2500  0.3581 [4 per cell]
Cl  0.0000  0.2500  0.7741 [4 per cell]
Cl  0.1495  0.0777  0.3301 [16 per cell]
Cl  0.1716  0.0621  0.8544 [16 per cell]
Cl  0.2010  0.2500  0.0495 [8 per cell]


This record from Alexandria describes TePbW2 at its PBEsol-relaxed geometry. The functional is meta-GGA SCAN.

Total moment in μB per atom: 0.0000
Energy above the lowest structure with this stoichiometry in meV/atom: 0
Raw total energy in eV per cell: -250.11

Cell lengths 3.2864, 4.1288, 7.0759 Å; angles 90.00, 90.00, 90.00 degrees
Space group Pmm2 (No. 25)
Symmetry-distinct sites (fractional):
Te  0.0000  0.0000  0.0000 [1 per cell]
Pb  0.5000  0.5000  0.6267 [1 per cell]
W  0.0000  0.5000  0.2780 [1 per cell]
W  0.5000  0.0000  0.3080 [1 per cell]


This record from Alexandria describes TlC2 at its PBEsol-relaxed geometry. The functional is meta-GGA SCAN.

Total moment in μB per atom: 0.0000
ΔE_f in eV/atom: 1.5331
Energy above the lowest structure with this stoichiometry in meV/atom: 641
Raw total energy in eV per cell: -87.96

Cell lengths 3.4874, 3.4874, 4.2800 Å; angles 90.00, 90.00, 120.00 degrees
Space group P-6m2 (No. 187)
Symmetry-distinct sites (fractional):
Tl  0.0000  0.0000  0.0000 [1 per cell]
C  0.3333  0.6667  0.3510 [2 per cell]


This record from Alexandria describes Ca2WAu at its PBEsol-relaxed geometry. The functional is meta-GGA SCAN.

Total moment in μB per atom: 0.1491
ΔE_f in eV/atom: 0.7313
Energy above the lowest structure with this stoichiometry in meV/atom: 381
Raw total energy in eV per cell: -465.74

Cell lengths 3.1590, 3.1590, 31.2089 Å; angles 90.00, 90.00, 120.00 degrees
Space group R3m (No. 160, hexagonal axes)
Symmetry-distinct sites (fractional):
Ca  0.0000  0.0000  0.0000 [3 per cell]
Ca  0.0000  0.0000  0.2246 [3 per cell]
W  0.0000  0.0000  0.4787 [3 per cell]
Au  0.0000  0.0000  0.7444 [3 per cell]